Here is a geometry-optimized KTl2Re structure from Alexandria. Energies are from PBE.

The calculation puts the energy of formation at 1.086 eV per atom. As for the excess energy over the best structure of this formula in the dataset: 0.4122 eV/atom. Its space-group type is Cmmm. As for the crystal system: orthorhombic.

a b c (Å): 7.8578 7.9795 3.0387
angles (deg): 90.00 90.00 90.00
Closest atoms and distances in Å follow each position.
Fractional positions:
K: 0.0000 0.0000 0.0000  2 K 3.04, 8 Tl 3.19
K: 0.5000 0.5000 0.0000  2 K 3.04, 8 Tl 3.19
Tl: 0.2500 0.2500 0.5000  2 Tl 3.04, 4 K 3.19, 4 Re 3.19
Tl: 0.2500 0.7500 0.5000  2 Tl 3.04, 4 K 3.19, 4 Re 3.19
Tl: 0.7500 0.2500 0.5000  2 Tl 3.04, 4 K 3.19, 4 Re 3.19
Tl: 0.7500 0.7500 0.5000  2 Tl 3.04, 4 K 3.19, 4 Re 3.19
Re: 0.0000 0.5000 0.0000  2 Re 3.04, 8 Tl 3.19
Re: 0.5000 0.0000 0.0000  2 Re 3.04, 8 Tl 3.19

Here is a geometry-optimized KTl2Re structure from Alexandria. Energies are from PBE.

The calculation puts the energy of formation at 0.674 eV per atom. As for the excess energy over the best structure of this formula in the dataset: 0.0000 eV/atom. Its space-group type is Imm2. As for the crystal system: orthorhombic.

a b c (Å): 3.0262 4.7366 16.2286
angles (deg): 90.00 90.00 90.00
Closest atoms and distances in Å follow each position.
Fractional positions:
K: 0.0000 0.0000 0.0000  2 K 3.03
K: 0.5000 0.5000 0.5000  2 K 3.03
Tl: 0.0000 0.0000 0.6505  2 Re 2.89, 2 Tl 3.03
Tl: 0.0000 0.5000 0.8179  4 Re 2.82, 2 Tl 3.03
Tl: 0.5000 0.0000 0.3179  4 Re 2.82, 2 Tl 3.03
Tl: 0.5000 0.5000 0.1505  2 Re 2.89, 2 Tl 3.03
Re: 0.0000 0.5000 0.3019  6 Tl 2.82-2.89, 2 Re 3.03
Re: 0.5000 0.0000 0.8019  6 Tl 2.82-2.89, 2 Re 3.03